Record 1
Here is crystalline Y2ScTlFe at its relaxed geometry from the Alexandria database. Energies are from PBE.

**Magnetization**: 0.0 μB/f.u.
**Formation energy from the elements**: -0.089 eV per formula unit
**Final energy**: -6.035 eV/atom

a = 5.2186 Å, b = 5.2186 Å, c = 4.7737 Å
α = 90.00°, β = 90.00°, γ = 90.00°
Element x y z (fractional)
Y: 0.0000 0.5000 0.0000
Y: 0.5000 0.0000 0.0000
Sc: 0.0000 0.0000 0.5000
Tl: 0.5000 0.5000 0.5000
Fe: 0.0000 0.0000 0.0000

***

Record 2
Here is crystalline YSc2TlFe at its relaxed geometry from the Alexandria database. Energies are from PBE.

**Magnetization**: 0.0 μB/f.u.
**Formation energy from the elements**: -0.113 eV per formula unit
**Final energy**: -6.014 eV/atom

a = 4.8325 Å, b = 4.8325 Å, c = 5.2059 Å
α = 90.00°, β = 90.00°, γ = 90.00°
Element x y z (fractional)
Y: 0.0000 0.0000 0.0000
Sc: 0.0000 0.5000 0.5000
Sc: 0.5000 0.0000 0.5000
Tl: 0.5000 0.5000 0.0000
Fe: 0.0000 0.0000 0.5000

***

Record 3
Here is crystalline Tm2Sc3Fe2 at its relaxed geometry from the Alexandria database. Energies are from PBE.

**Magnetization**: 2.7 μB/f.u.
**Formation energy from the elements**: 0.259 eV per formula unit
**Final energy**: -6.372 eV/atom

a = 5.9418 Å, b = 5.9418 Å, c = 9.7087 Å
α = 121.67°, β = 121.67°, γ = 32.69°
Element x y z (fractional)
Tm: 0.0844 0.0844 0.3810
Tm: 0.9156 0.9156 0.6190
Sc: 0.2943 0.2943 0.2600
Sc: 0.5000 0.5000 0.0000
Sc: 0.7057 0.7057 0.7400
Fe: 0.1681 0.1681 0.9305
Fe: 0.8319 0.8319 0.0695

***

Record 4
Here is crystalline Tm6ScFe2 at its relaxed geometry from the Alexandria database. Energies are from PBE.

**Magnetization**: 0.5 μB/f.u.
**Formation energy from the elements**: -0.058 eV per formula unit
**Final energy**: -5.572 eV/atom

a = 8.3150 Å, b = 8.3150 Å, c = 8.3150 Å
α = 111.47°, β = 109.94°, γ = 107.03°
Element x y z (fractional)
Tm: 0.0355 0.2436 0.7919
Tm: 0.1857 0.2808 0.4665
Tm: 0.1857 0.7192 0.9049
Tm: 0.3226 0.0062 0.6836
Tm: 0.3226 0.6391 0.3164
Tm: 0.4517 0.2436 0.2081
Tm: 0.5483 0.7564 0.7919
Tm: 0.6774 0.3609 0.6836
Tm: 0.6774 0.9938 0.3164
Tm: 0.8143 0.2808 0.0951
Tm: 0.8143 0.7192 0.5335
Tm: 0.9645 0.7564 0.2081
Sc: 0.0000 0.0000 0.0000
Sc: 0.5000 0.5000 0.0000
Fe: 0.1090 0.6090 0.5000
Fe: 0.3026 0.0000 0.3026
Fe: 0.6974 0.0000 0.6974
Fe: 0.8910 0.3910 0.5000

***

Record 5
Here is crystalline TmSc3Fe8 at its relaxed geometry from the Alexandria database. Energies are from PBE.

**Magnetization**: 11.2 μB/f.u.
**Formation energy from the elements**: -2.840 eV per formula unit
**Final energy**: -7.834 eV/atom

a = 8.5783 Å, b = 8.5783 Å, c = 8.5783 Å
α = 33.60°, β = 33.60°, γ = 33.60°
Element x y z (fractional)
Tm: 0.0000 0.0000 0.0000
Sc: 0.3767 0.3767 0.3767
Sc: 0.5003 0.5003 0.5003
Sc: 0.8740 0.8740 0.8740
Fe: 0.1876 0.1876 0.1876
Fe: 0.4368 0.4368 0.9360
Fe: 0.4368 0.9360 0.4368
Fe: 0.4397 0.9382 0.9382
Fe: 0.6879 0.6879 0.6879
Fe: 0.9360 0.4368 0.4368
Fe: 0.9382 0.4397 0.9382
Fe: 0.9382 0.9382 0.4397

***

Record 6
Here is crystalline Tm3ScFe8 at its relaxed geometry from the Alexandria database. Energies are from PBE.

**Magnetization**: 12.0 μB/f.u.
**Formation energy from the elements**: -2.059 eV per formula unit
**Final energy**: -7.459 eV/atom

a = 8.7147 Å, b = 8.7147 Å, c = 8.7147 Å
α = 33.60°, β = 33.60°, γ = 33.60°
Element x y z (fractional)
Tm: 0.0000 0.0000 0.0000
Tm: 0.1258 0.1258 0.1258
Tm: 0.5024 0.5024 0.5024
Sc: 0.6262 0.6262 0.6262
Fe: 0.0616 0.5631 0.5631
Fe: 0.0644 0.0644 0.5647
Fe: 0.0644 0.5647 0.0644
Fe: 0.3133 0.3133 0.3133
Fe: 0.5631 0.0616 0.5631
Fe: 0.5631 0.5631 0.0616
Fe: 0.5647 0.0644 0.0644
Fe: 0.8137 0.8137 0.8137

***

> Which of these has the lowest formation energy from the elements?

TmSc3Fe8

***

> What is the formula in the second record?

YSc2TlFe